Np2MnF8 | PBE with a Hubbard U | optimized geometry

```
Np2MnF8
1.0
4.0307 0.0000 0.0000
-2.0154 6.3313 -1.1870
0.0000 0.0465 7.3308
Np Mn F
2 1 8
Cartesian
2.0154 3.0565 4.8819
0.0000 3.3214 1.2619
2.0154 0.0000 0.0000
0.0000 5.5254 0.6481
2.0154 2.7976 0.1084
2.0154 3.8458 2.5469
2.0154 5.2822 5.5003
0.0000 2.5320 3.5970
0.0000 3.5803 6.0354
2.0154 0.8524 5.4957
0.0000 1.0956 0.6435
```

Total DFT energy (no corrections)   -0.5346 Ry per atom
DOS at the Fermi energy   5.3 states/eV/f.u.
Space group   C2/m, No. 12
Calculated density   6.04 g/cm3
Crystal system   monoclinic